{"formula": "MgCo2O4", "functional": "PBE+U", "state": "relaxed", "lattice": [[4.988, 0.000, 0.000], [0.000, 2.898, 0.000], [-0.287, 0.000, 5.020]], "species": ["Mg", "Co", "Co", "O", "O", "O", "O"], "fractional_positions": [[0.000, 0.000, 0.000], [0.000, 0.000, 0.500], [0.500, 0.500, 0.500], [0.149, 0.500, 0.725], [0.311, 0.000, 0.298], [0.689, 0.000, 0.702], [0.851, 0.500, 0.275]], "dos_at_fermi_per_ev_cell": 0.1, "sg": "P2/m, No. 10", "polymorph_energy_ev_per_atom": 0.160, "magmom_total_mub_per_fu": 4.0}